No. 1
Compound: LiLaTlH2
Source: the Alexandria database
Functional: GGA-PBE
Structure: optimized geometry

The density of states at the Fermi level is 0.46 states/eV per atom. The volume is 129 Å³/cell.

The space group is P4/mmm (No. 123) and the conventional cell measures 4.412, 4.412 and 6.608 Å, with angles of 90.00, 90.00 and 90.00 degrees. The asymmetric unit holds Li at (0.000, 0.000, 0.000), La at (0.500, 0.500, 0.500), Tl at (0.500, 0.500, 0.000) and H at (0.000, 0.500, 0.500).


No. 2
Compound: LiLaY2H
Source: the Alexandria database
Functional: GGA-PBE
Structure: optimized geometry

The density of states at the Fermi level is 0.96 states/eV per atom. The volume is 122 Å³/cell.

The space group is P4/mmm (No. 123) and the conventional cell measures 4.904, 4.904 and 5.076 Å, with angles of 90.00, 90.00 and 90.00 degrees. The asymmetric unit holds Li at (0.000, 0.000, 0.000), La at (0.500, 0.500, 0.000), Y at (0.000, 0.500, 0.500) and H at (0.000, 0.000, 0.500).


No. 3
Compound: LiLaY2H
Source: the Alexandria database
Functional: GGA-PBE
Structure: optimized geometry

The density of states at the Fermi level is 1.42 states/eV per atom. The volume is 124 Å³/cell.

The space group is P4/mmm (No. 123) and the conventional cell measures 4.954, 4.954 and 5.061 Å, with angles of 90.00, 90.00 and 90.00 degrees. The asymmetric unit holds Li at (0.000, 0.000, 0.000), La at (0.500, 0.500, 0.000), Y at (0.000, 0.500, 0.500) and H at (0.500, 0.500, 0.500).


E in Ha/atom, matching the order above: -0.117, -0.170, -0.171
Total magnetization in μB per atom, matching the order above: 0.000, 0.000, 0.001